[1]
DFT (GGA-PBE) results for an optimized crystal structure of MgCd2Se.

Lattice parameters (Å, degrees): 3.399 3.399 8.331 90.00 90.00 103.30
Atoms (fractional coordinates):
Mg1 0.000 0.000 0.000
Cd1 0.500 0.500 0.262
Cd2 0.500 0.500 0.738
Se1 0.000 0.000 0.500

Results
- magnetic moment (μB/f.u.) = 0.0
- DOS(E_F) (states/eV/cell) = 1.77
- E (Ha/atom) = -0.0645


[2]
DFT (GGA-PBE) results for an optimized crystal structure of MgCdSe2.

Lattice parameters (Å, degrees): 8.723 8.723 8.723 154.96 154.96 35.70
Atoms (fractional coordinates):
Mg1 0.000 0.000 0.000
Cd1 0.750 0.250 0.500
Se1 0.250 0.750 0.500
Se2 0.500 0.500 0.000

Results
- magnetic moment (μB/f.u.) = 0.0
- DOS(E_F) (states/eV/cell) = 1.16
- E (Ha/atom) = -0.1069


[3]
DFT (GGA-PBE) results for an optimized crystal structure of Mg4CdSe.

Lattice parameters (Å, degrees): 5.814 5.814 5.814 60.00 60.00 60.00
Atoms (fractional coordinates):
Mg1 0.125 0.125 0.125
Mg2 0.125 0.125 0.625
Mg3 0.125 0.625 0.125
Mg4 0.625 0.125 0.125
Cd1 0.500 0.500 0.500
Se1 0.750 0.750 0.750

Results
- magnetic moment (μB/f.u.) = 0.0
- DOS(E_F) (states/eV/cell) = 3.37
- E (Ha/atom) = -0.0648


Look up the magnetic moment of the second one.
0.0 μB/f.u.


Which formula does entry 2 have?
MgCdSe2